Entry 1:
Computed, not measured: a geometry-optimized Na3TmSb2S6 structure at the PBE-GGA level of DFT.

a = 6.8960 Å, b = 11.9491 Å, c = 7.0801 Å
α = 90.00°, β = 108.95°, γ = 90.00°
Space group C2/m (No. 12)
Inequivalent atoms, fractional coordinates:
Na 0.0000 0.0000 0.0000 (multiplicity 2)
Na 0.0000 0.3288 0.0000 (multiplicity 4)
Tm 0.0000 0.5000 0.5000 (multiplicity 2)
Sb 0.0000 0.1661 0.5000 (multiplicity 4)
S 0.2396 0.3362 0.7272 (multiplicity 8)
S 0.2479 0.0000 0.7277 (multiplicity 4)

M_tot (μB per cell): 0.00
Formation energy without anion corrections (eV per atom): -1.053
Total DFT energy (no corrections) (eV for the cell shown): -108.14

=====

Entry 2:
Computed, not measured: a geometry-optimized VAg2Au structure at the PBE-GGA level of DFT.

a = 6.5560 Å, b = 6.5560 Å, c = 6.5560 Å
α = 90.00°, β = 90.00°, γ = 90.00°
Space group Fm-3m (No. 225)
Inequivalent atoms, fractional coordinates:
V 0.0000 0.0000 0.0000 (multiplicity 4)
Ag 0.2500 0.2500 0.2500 (multiplicity 8)
Au 0.0000 0.0000 0.5000 (multiplicity 4)

M_tot (μB per cell): 12.59
Formation energy (eV/atom): 0.298
Energy relative to the lowest polymorph listed for this composition (eV per atom): 0.000
Total DFT energy (no corrections) (eV for the cell shown): -67.63

=====

Entry 3:
Computed, not measured: a geometry-optimized Pm3Dy2ThS6 structure at the PBE-GGA level of DFT.

a = 17.3867 Å, b = 3.9873 Å, c = 8.0116 Å
α = 90.00°, β = 103.15°, γ = 90.00°
Space group C2/m (No. 12)
Inequivalent atoms, fractional coordinates:
Pm 0.0000 0.0000 0.0000 (multiplicity 2)
Pm 0.1636 0.5000 0.3337 (multiplicity 4)
Dy 0.1658 0.5000 0.8311 (multiplicity 4)
Th 0.0000 0.0000 0.5000 (multiplicity 2)
S 0.0040 0.5000 0.7545 (multiplicity 4)
S 0.1689 0.0000 0.5932 (multiplicity 4)
S 0.1702 0.0000 0.0766 (multiplicity 4)

M_tot (μB per cell): 0.00
Formation energy without anion corrections (eV per atom): -1.981
Total DFT energy (no corrections) (eV for the cell shown): -158.82

=====

Entry 4:
Computed, not measured: a geometry-optimized La5Pm2Dy2 structure at the PBE-GGA level of DFT.

a = 15.0819 Å, b = 11.8692 Å, c = 6.9900 Å
α = 90.00°, β = 90.00°, γ = 90.00°
Space group Ima2 (No. 46)
Inequivalent atoms, fractional coordinates:
La 0.0518 0.2285 0.0000 (multiplicity 8)
La 0.1440 0.7282 0.3440 (multiplicity 8)
La 0.2500 0.2442 0.8218 (multiplicity 4)
Pm 0.1296 0.5061 0.6784 (multiplicity 8)
Dy 0.0000 0.0000 0.6486 (multiplicity 4)
Dy 0.2500 0.5063 0.1185 (multiplicity 4)

M_tot (μB per cell): 0.00
Formation energy (eV/atom): 0.186
Energy relative to the lowest polymorph listed for this composition (eV per atom): 0.164
Total DFT energy (no corrections) (eV for the cell shown): -166.67